Record 1
Material: KBa4Ni
Method: DFT, PBE-GGA
State: optimized geometry

The space group is F-43m (No. 216) and the conventional cell measures 11.035, 11.035 and 11.035 Å, with angles of 90.00, 90.00 and 90.00 degrees. The asymmetric unit holds K at (0.000, 0.000, 0.000), Ba at (0.124, 0.124, 0.376) and Ni at (0.250, 0.250, 0.750).

The calculation puts the density of states at the Fermi level at 15.33 states/eV/f.u. The calculation puts the magnetization at 0.803 μB per formula unit. The energy of formation is 0.741 eV/atom. The value obtained for the energy is -40.49 eV per cell.

Record 2
Material: Ac4Cd2Rh
Method: DFT, PBE-GGA
State: optimized geometry

The space group is I4/mmm (No. 139) and the conventional cell measures 5.721, 5.721 and 16.559 Å, with angles of 90.00, 90.00 and 90.00 degrees. The asymmetric unit holds Ac at (0.000, 0.000, 0.182), Ac at (0.000, 0.500, 0.000), Cd at (0.000, 0.000, 0.379) and Rh at (0.000, 0.000, 0.000).

The calculation puts the density of states at the Fermi level at 8.13 states/eV/f.u. The calculation puts the magnetization at 0.000 μB per formula unit. The energy of formation is -0.255 eV/atom. The value obtained for the energy is -54.81 eV per cell. The value obtained for the energy relative to the lowest polymorph listed for this composition is 0.095 eV per atom.

Record 3
Material: LiAgPbS2
Method: DFT, PBE-GGA
State: optimized geometry

The space group is P2/c (No. 13) and the conventional cell measures 6.923, 4.670 and 7.146 Å, with angles of 90.00, 102.38 and 90.00 degrees. The asymmetric unit holds Li at (0.000, 0.007, 0.250), Ag at (0.000, 0.500, 0.000), Pb at (0.500, 0.329, 0.750) and S at (0.263, 0.173, 0.037).

The calculation puts the magnetization at 0.000 μB per formula unit. The value obtained for the energy is -38.95 eV per cell. As for the raw formation energy: -0.55 eV per atom.

Record 4
Material: SiC3
Method: DFT, PBE-GGA
State: optimized geometry

The space group is Pm-3n (No. 223) and the conventional cell measures 4.010, 4.010 and 4.010 Å, with angles of 90.00, 90.00 and 90.00 degrees. The asymmetric unit holds Si at (0.000, 0.000, 0.000) and C at (0.000, 0.250, 0.500).

The calculation puts the density of states at the Fermi level at 2.81 states/eV/f.u. The calculation puts the magnetization at 0.000 μB per formula unit. The value obtained for the energy is -41.92 eV per cell. The value obtained for the energy relative to the lowest polymorph listed for this composition is 2.534 eV per atom. As for the raw formation energy: 3.03 eV per atom.

Record 5
Material: CaMgAgBi2
Method: DFT, PBE-GGA
State: optimized geometry

The space group is P4/mmm (No. 123) and the conventional cell measures 5.558, 5.558 and 5.086 Å, with angles of 90.00, 90.00 and 90.00 degrees. The asymmetric unit holds Ca at (0.000, 0.000, 0.000), Mg at (0.500, 0.500, 0.500), Ag at (0.500, 0.500, 0.000) and Bi at (0.000, 0.500, 0.500).

The calculation puts the density of states at the Fermi level at 2.34 states/eV/f.u. The calculation puts the magnetization at 0.000 μB per formula unit. The energy of formation is 0.035 eV/atom. The value obtained for the energy is -14.03 eV per cell.

Record 6
Material: TiBeI2N
Method: DFT, PBE-GGA
State: optimized geometry

The space group is P4/mmm (No. 123) and the conventional cell measures 5.378, 5.378 and 3.288 Å, with angles of 90.00, 90.00 and 90.00 degrees. The asymmetric unit holds Ti at (0.000, 0.000, 0.000), Be at (0.500, 0.500, 0.500), I at (0.000, 0.500, 0.500) and N at (0.500, 0.500, 0.000).

The calculation puts the density of states at the Fermi level at 7.07 states/eV/f.u. The calculation puts the magnetization at 0.000 μB per formula unit. The value obtained for the energy is -20.57 eV per cell. The value obtained for the energy relative to the lowest polymorph listed for this composition is 0.152 eV per atom. As for the raw formation energy: 0.50 eV per atom.

Record 7
Material: Ag3Br
Method: DFT, PBE-GGA
State: optimized geometry

The space group is Immm (No. 71) and the conventional cell measures 4.013, 4.243 and 9.701 Å, with angles of 90.00, 90.00 and 90.00 degrees. The asymmetric unit holds Ag at (0.000, 0.000, 0.000), Ag at (0.000, 0.500, 0.253) and Br at (0.000, 0.000, 0.500).

The calculation puts the density of states at the Fermi level at 0.75 states/eV/f.u. The calculation puts the magnetization at 0.000 μB per formula unit. The value obtained for the energy is -18.98 eV per cell. The value obtained for the energy relative to the lowest polymorph listed for this composition is 0.201 eV per atom. As for the raw formation energy: 0.18 eV per atom.

Record 8
Material: LaSmTh2S4
Method: DFT, PBE-GGA
State: optimized geometry

The space group is P2/m (No. 10) and the conventional cell measures 6.987, 4.066 and 7.065 Å, with angles of 90.00, 109.37 and 90.00 degrees. The asymmetric unit holds La at (0.000, 0.000, 0.000), Sm at (0.500, 0.500, 0.000), Th at (0.000, 0.500, 0.500), Th at (0.500, 0.000, 0.500), S at (0.255, 0.000, 0.751) and S at (0.256, 0.500, 0.252).

The calculation puts the density of states at the Fermi level at 4.89 states/eV/f.u. The calculation puts the magnetization at 0.000 μB per formula unit. The value obtained for the energy is -56.65 eV per cell. As for the raw formation energy: -1.96 eV per atom.

Record 9
Material: La5Dy2In
Method: DFT, PBE-GGA
State: optimized geometry

The space group is Fmm2 (No. 42) and the conventional cell measures 7.365, 11.489 and 12.586 Å, with angles of 90.00, 90.00 and 90.00 degrees. The asymmetric unit holds La at (0.000, 0.000, 0.000), La at (0.226, 0.000, 0.759), La at (0.250, 0.250, 0.087), Dy at (0.000, 0.233, 0.345) and In at (0.000, 0.000, 0.505).

The calculation puts the density of states at the Fermi level at 11.12 states/eV/f.u. The calculation puts the magnetization at 0.000 μB per formula unit. The energy of formation is -0.122 eV/atom. The value obtained for the energy is -150.24 eV per cell.

Record 10
Material: CaFeH
Method: DFT, PBE-GGA
State: optimized geometry

The space group is Amm2 (No. 38) and the conventional cell measures 10.061, 3.608 and 4.897 Å, with angles of 90.00, 90.00 and 90.00 degrees. The asymmetric unit holds Ca at (0.168, 0.000, 0.000), Fe at (0.388, 0.000, 0.509), H at (0.000, 0.000, 0.357) and H at (0.500, 0.000, 0.798).

The calculation puts the density of states at the Fermi level at 1.95 states/eV/f.u. The calculation puts the magnetization at 2.409 μB per formula unit. The value obtained for the energy is -49.86 eV per cell.

Record 11
Material: Sm8HoTm5
Method: DFT, PBE-GGA
State: optimized geometry

The space group is C2 (No. 5) and the conventional cell measures 13.556, 10.185 and 9.591 Å, with angles of 90.00, 134.93 and 90.00 degrees. The asymmetric unit holds Sm at (0.069, 0.000, 0.242), Sm at (0.091, 0.342, 0.415), Sm at (0.174, 0.691, 0.105), Sm at (0.176, 0.848, 0.766), Ho at (0.000, 0.345, 0.000), Tm at (0.000, 0.095, 0.500), Tm at (0.109, 0.669, 0.405) and Tm at (0.205, 0.521, 0.814).

The calculation puts the density of states at the Fermi level at 20.81 states/eV/f.u. The calculation puts the magnetization at 0.000 μB per formula unit. The energy of formation is 0.257 eV/atom. The value obtained for the energy is -122.19 eV per cell.

Record 12
Material: TbNd6Dy2Tm
Method: DFT, PBE-GGA
State: optimized geometry

The space group is C2/c (No. 15) and the conventional cell measures 9.262, 15.346 and 9.640 Å, with angles of 90.00, 97.33 and 90.00 degrees. The asymmetric unit holds Tb at (0.000, 0.027, 0.250), Nd at (0.060, 0.178, 0.946), Nd at (0.099, 0.391, 0.117), Nd at (0.214, 0.222, 0.311), Dy at (0.249, 0.451, 0.454) and Tm at (0.000, 0.412, 0.750).

The calculation puts the density of states at the Fermi level at 14.10 states/eV/f.u. The calculation puts the magnetization at 0.000 μB per formula unit. The energy of formation is 0.116 eV/atom. The value obtained for the energy is -183.01 eV per cell.

Record 13
Material: EuDySe2
Method: DFT, PBE-GGA
State: optimized geometry

The space group is R-3m (No. 166, hexagonal axes) and the conventional cell measures 4.1623, 4.1623 and 20.7300 Å, with angles of 90.00, 90.00 and 120.00 degrees. The asymmetric unit holds Eu at (0.0000, 0.0000, 0.0000), Dy at (0.0000, 0.0000, 0.5000) and Se at (0.0000, 0.0000, 0.2453).

The calculation puts the density of states at the Fermi level at 1.75 states/eV/f.u. The calculation puts the magnetization at 6.977 μB per formula unit. The value obtained for the energy is -88.37 eV per cell. As for the raw formation energy: -1.90 eV per atom.

Record 14
Material: Ca3Pm3DyTe8
Method: DFT, PBE-GGA
State: optimized geometry

The space group is R-3m (No. 166, hexagonal axes) and the conventional cell measures 8.8806, 8.8806 and 22.1921 Å, with angles of 90.00, 90.00 and 120.00 degrees. The asymmetric unit holds Ca at (0.0000, 0.5000, 0.0000), Pm at (0.0000, 0.5000, 0.5000), Dy at (0.0000, 0.0000, 0.5000), Te at (0.0000, 0.0000, 0.2508) and Te at (0.0028, 0.5014, 0.2492).

The calculation puts the density of states at the Fermi level at 4.73 states/eV/f.u. The calculation puts the magnetization at 0.000 μB per formula unit. The value obtained for the energy is -218.14 eV per cell. As for the raw formation energy: -1.51 eV per atom.

Record 15
Material: LaYTl2
Method: DFT, PBE-GGA
State: optimized geometry

The space group is R3m (No. 160, hexagonal axes) and the conventional cell measures 3.6507, 3.6507 and 33.0297 Å, with angles of 90.00, 90.00 and 120.00 degrees. The asymmetric unit holds La at (0.0000, 0.0000, 0.0000), Y at (0.0000, 0.0000, 0.7535), Tl at (0.0000, 0.0000, 0.2453) and Tl at (0.0000, 0.0000, 0.5000).

The calculation puts the density of states at the Fermi level at 5.10 states/eV/f.u. The calculation puts the magnetization at 0.011 μB per formula unit. The energy of formation is -0.077 eV/atom. The value obtained for the energy is -49.30 eV per cell.

Record 16
Material: Rb2CuO
Method: DFT, PBE-GGA
State: optimized geometry

The space group is P2_1/m (No. 11) and the conventional cell measures 8.840, 3.673 and 9.021 Å, with angles of 90.00, 104.88 and 90.00 degrees. The asymmetric unit holds Rb at (0.245, 0.250, 0.063), Rb at (0.246, 0.250, 0.560), Cu at (0.033, 0.750, 0.259) and O at (0.021, 0.250, 0.255).

The calculation puts the density of states at the Fermi level at 1.11 states/eV/f.u. The calculation puts the magnetization at 0.000 μB per formula unit. The value obtained for the energy is -26.26 eV per cell. As for the raw formation energy: -0.53 eV per atom.